(1)
Material: K2Tl4In
Method: DFT, PBE
State: optimized geometry

abc: 9.408 9.408 9.408
angles: 147.12 147.12 47.18
Atoms (fractional coordinates):
K 0.246 0.246 0.000
K 0.754 0.754 0.000
Tl 0.098 0.598 0.500
Tl 0.402 0.902 0.500
Tl 0.598 0.098 0.500
Tl 0.902 0.402 0.500
In 0.000 0.000 0.000

Summary:
* formation energy from the elements: -0.15 eV/f.u.
* calculated volume: 244.47 Å³/cell

(2)
Material: FeTc2HN
Method: DFT, PBE
State: optimized geometry

abc: 4.114 4.114 2.926
angles: 90.00 90.00 90.00
Atoms (fractional coordinates):
Fe 0.000 0.000 0.000
Tc 0.000 0.500 0.500
Tc 0.500 0.000 0.500
H 0.000 0.000 0.500
N 0.500 0.500 0.000

Summary:
* DFT total energy: -7.268 eV per atom
* calculated volume: 49.51 Å³/cell

(3)
Material: NiSe3N
Method: DFT, PBE
State: optimized geometry

abc: 4.600 4.600 4.600
angles: 90.00 90.00 90.00
Atoms (fractional coordinates):
Ni 0.000 0.000 0.000
Se 0.000 0.000 0.500
Se 0.000 0.500 0.000
Se 0.500 0.000 0.000
N 0.500 0.500 0.500

Summary:
* excess energy over the best structure of this formula in the dataset: 5.47 eV/f.u.
* calculated volume: 97.34 Å³/cell

(4)
Material: Zr2BS2
Method: DFT, PBE
State: optimized geometry

abc: 6.892 6.892 3.492
angles: 90.00 90.00 90.00
Atoms (fractional coordinates):
Zr 0.162 0.338 0.000
Zr 0.338 0.838 0.000
Zr 0.662 0.162 0.000
Zr 0.838 0.662 0.000
B 0.000 0.000 0.000
B 0.500 0.500 0.000
S 0.140 0.640 0.500
S 0.360 0.140 0.500
S 0.640 0.860 0.500
S 0.860 0.360 0.500

Summary:
* excess energy over the best structure of this formula in the dataset: 0.00 eV/f.u.
* calculated volume: 165.89 Å³/cell

(5)
Material: Sm4Zn2Cd
Method: DFT, PBE
State: optimized geometry

abc: 8.780 8.780 8.780
angles: 34.30 34.30 34.30
Atoms (fractional coordinates):
Sm 0.116 0.116 0.116
Sm 0.368 0.368 0.368
Sm 0.632 0.632 0.632
Sm 0.884 0.884 0.884
Zn 0.245 0.245 0.245
Zn 0.755 0.755 0.755
Cd 0.500 0.500 0.500

Summary:
* formation energy from the elements: -1.21 eV/f.u.
* excess energy over the best structure of this formula in the dataset: 0.00 eV/f.u.
* calculated volume: 191.64 Å³/cell

(6)
Material: LiDy2US5
Method: DFT, PBE
State: optimized geometry

abc: 8.328 8.328 11.811
angles: 90.00 90.00 153.17
Atoms (fractional coordinates):
Li 0.016 0.984 0.500
Li 0.984 0.016 0.000
Dy 0.374 0.626 0.320
Dy 0.392 0.608 0.712
Dy 0.608 0.392 0.212
Dy 0.626 0.374 0.820
U 0.300 0.700 0.029
U 0.700 0.300 0.529
S 0.002 0.998 0.806
S 0.134 0.866 0.027
S 0.190 0.810 0.367
S 0.212 0.788 0.691
S 0.453 0.547 0.097
S 0.547 0.453 0.597
S 0.788 0.212 0.191
S 0.810 0.190 0.867
S 0.866 0.134 0.527
S 0.998 0.002 0.306

Summary:
* DFT total energy: -6.435 eV per atom
* calculated volume: 369.68 Å³/cell

What did the fourth record say?
Material: Zr2BS2
Method: DFT, PBE
State: optimized geometry

abc: 6.892 6.892 3.492
angles: 90.00 90.00 90.00
Atoms (fractional coordinates):
Zr 0.162 0.338 0.000
Zr 0.338 0.838 0.000
Zr 0.662 0.162 0.000
Zr 0.838 0.662 0.000
B 0.000 0.000 0.000
B 0.500 0.500 0.000
S 0.140 0.640 0.500
S 0.360 0.140 0.500
S 0.640 0.860 0.500
S 0.860 0.360 0.500

Summary:
* excess energy over the best structure of this formula in the dataset: 0.00 eV/f.u.
* calculated volume: 165.89 Å³/cell

- Number 6 is which compound?
  LiDy2US5